No. 1
{"formula": "VCdSn3", "functional": "GGA-PBE", "state": "relaxed", "lattice": [[-4.055, -1.137, 3.481], [-2.492, -2.949, -3.866], [2.683, -4.457, 1.670]], "species": ["Sn", "V", "Sn", "Sn", "Cd"], "fractional_positions": [[0.000, 0.500, 0.000], [0.500, 0.500, 0.500], [0.500, 0.000, 0.000], [0.000, 0.000, 0.500], [0.000, 0.000, 0.000]], "sg": "No. 221", "total_energy_ev_per_cell": -16.80, "e_above_lowest_polymorph_mev_per_atom": 828, "formation_enthalpy_0k_ev_per_atom": 1.05}

***

No. 2
{"formula": "HfPaBi2", "functional": "GGA-PBE", "state": "relaxed", "lattice": [[-7.530, -0.914, 1.378], [3.942, -3.001, 3.726], [2.623, 5.250, 1.996]], "species": ["Pa", "Bi", "Bi", "Pa", "Hf", "Bi", "Hf", "Bi"], "fractional_positions": [[0.250, 0.657, 0.343], [0.231, 0.142, 0.418], [0.731, 0.418, 0.142], [0.750, 0.343, 0.657], [0.750, 0.949, 0.051], [0.769, 0.858, 0.582], [0.250, 0.051, 0.949], [0.269, 0.582, 0.858]], "sg": "No. 15", "total_energy_ev_per_cell": -54.31, "e_above_lowest_polymorph_mev_per_atom": 81, "formation_enthalpy_0k_ev_per_atom": 0.01}

***

No. 3
{"formula": "La2PaZn", "functional": "GGA-PBE", "state": "relaxed", "lattice": [[-3.482, -0.240, 0.296], [0.355, -1.049, 3.323], [-0.359, 8.591, 2.750]], "species": ["Pa", "Zn", "La", "La"], "fractional_positions": [[0.500, 0.500, 0.500], [0.500, 0.500, 0.000], [0.000, 0.000, 0.768], [0.000, 0.000, 0.232]], "sg": "No. 123", "total_energy_ev_per_cell": -20.64, "e_above_lowest_polymorph_mev_per_atom": 0, "formation_enthalpy_0k_ev_per_atom": 0.00}

***

No. 4
{"formula": "Be2CuTe", "functional": "GGA-PBE", "state": "relaxed", "lattice": [[3.055, -0.022, 0.000], [0.024, 3.322, 0.000], [0.000, 0.000, 6.366]], "species": ["Be", "Be", "Cu", "Te"], "fractional_positions": [[0.000, 0.000, 0.045], [0.500, 0.500, 0.246], [0.000, 0.000, 0.375], [0.500, 0.500, 0.834]], "sg": "No. 25", "total_energy_ev_per_cell": -12.79, "raw_formation_energy_ev_per_atom": 0.47}